{
  "formula": "NpAl2Sn",
  "functional": "GGA-PBE",
  "state": "optimized geometry",
  "crystal_system": "tetragonal",
  "ef_ev_per_atom": 0.126,
  "dos_at_fermi_per_ev_atom": 1.75,
  "cell": [[-2.9428, 2.0414, 0.5050], [-0.6026, -1.6508, 3.1614], [3.7155, 4.5881, 3.1041]],
  "species": ["Np", "Sn", "Al", "Al"],
  "frac_coords": [[0.5000, 0.5000, 0.5000], [0.5000, 0.5000, 0.0000], [0.0000, 0.0000, 0.7788], [0.0000, 0.0000, 0.2212]]
}

{
  "formula": "NpAlSn",
  "functional": "GGA-PBE",
  "state": "optimized geometry",
  "crystal_system": "hexagonal",
  "ef_ev_per_atom": -0.002,
  "dos_at_fermi_per_ev_atom": 2.73,
  "cell": [[3.2805, 0.0000, 0.0000], [0.0000, 4.8936, 0.0000], [0.0000, -2.4468, 4.2380]],
  "species": ["Np", "Sn", "Al"],
  "frac_coords": [[0.6667, 0.3333, 0.6667], [0.1666, 0.6667, 0.3333], [0.1667, 0.0000, 0.0000]]
}

{
  "formula": "NpTa2Al",
  "functional": "GGA-PBE",
  "state": "optimized geometry",
  "crystal_system": "trigonal",
  "ef_ev_per_atom": 0.227,
  "dos_at_fermi_per_ev_atom": 1.58,
  "cell": [[2.8993, 0.0000, 0.0000], [1.4496, 2.5108, 0.0000], [1.4496, 0.8369, 10.2867]],
  "species": ["Np", "Al", "Ta", "Ta"],
  "frac_coords": [[0.0000, 0.0000, 0.0000], [0.5000, 0.5000, 0.5000], [0.2429, 0.2429, 0.2714], [0.7571, 0.7571, 0.7286]]
}

{
  "formula": "NpTaAl4",
  "functional": "GGA-PBE",
  "state": "optimized geometry",
  "crystal_system": "cubic",
  "ef_ev_per_atom": -0.045,
  "dos_at_fermi_per_ev_atom": 1.48,
  "cell": [[5.3288, 0.0000, 0.0000], [2.6644, 4.6149, 0.0000], [2.6644, 1.5383, 4.3510]],
  "species": ["Np", "Al", "Al", "Al", "Al", "Ta"],
  "frac_coords": [[0.2500, 0.2500, 0.2500], [0.6252, 0.6252, 0.1245], [0.6252, 0.1245, 0.6252], [0.6252, 0.6252, 0.6252], [0.1245, 0.6252, 0.6252], [0.0000, 0.0000, 0.0000]]
}

{
  "formula": "NpTaAl",
  "functional": "GGA-PBE",
  "state": "optimized geometry",
  "crystal_system": "cubic",
  "ef_ev_per_atom": 0.867,
  "dos_at_fermi_per_ev_atom": 2.51,
  "cell": [[6.4581, 0.0000, 0.0000], [0.0000, 6.4581, 0.0000], [0.0000, 0.0000, 6.4581]],
  "species": ["Np", "Np", "Np", "Np", "Ta", "Ta", "Ta", "Ta", "Al", "Al", "Al", "Al"],
  "frac_coords": [[0.3710, 0.6290, 0.1290], [0.1290, 0.3710, 0.6290], [0.6290, 0.1290, 0.3710], [0.8710, 0.8710, 0.8710], [0.4984, 0.4984, 0.4984], [0.0016, 0.5016, 0.9984], [0.9984, 0.0016, 0.5016], [0.5016, 0.9984, 0.0016], [0.1889, 0.1889, 0.1889], [0.6889, 0.3111, 0.8111], [0.3111, 0.8111, 0.6889], [0.8111, 0.6889, 0.3111]]
}

{
  "formula": "TbNpAl4",
  "functional": "GGA-PBE",
  "state": "optimized geometry",
  "crystal_system": "cubic",
  "ef_ev_per_atom": -0.247,
  "dos_at_fermi_per_ev_atom": 2.38,
  "cell": [[-1.9056, 3.9111, -3.4472], [-4.1184, 3.3538, 1.6128], [1.0271, 5.3551, 1.0389]],
  "species": ["Np", "Tb", "Al", "Al", "Al", "Al"],
  "frac_coords": [[0.0000, 0.0000, 0.0000], [0.2500, 0.2500, 0.2500], [0.6255, 0.6255, 0.1234], [0.6255, 0.1234, 0.6255], [0.6255, 0.6255, 0.6255], [0.1234, 0.6255, 0.6255]]
}